[1]
ScB2C | SCAN | PBEsol geometry

abc: 6.6203 6.6203 6.6702
angles: 90.00 90.00 90.00
Closest atoms and distances in Å follow each position.
Positions (direct):
Sc 0.3084 0.8084 0.7500  4 C 2.42-2.44, 10 B 2.46-2.62
Sc 0.1916 0.3084 0.2500  4 C 2.42-2.44, 10 B 2.46-2.62
Sc 0.8084 0.6916 0.2500  4 C 2.42-2.44, 10 B 2.46-2.62
Sc 0.6916 0.1916 0.7500  4 C 2.42-2.44, 10 B 2.46-2.62
Sc 0.6916 0.1916 0.2500  4 C 2.42-2.44, 10 B 2.46-2.62
Sc 0.8084 0.6916 0.7500  4 C 2.42-2.44, 10 B 2.46-2.62
Sc 0.1916 0.3084 0.7500  4 C 2.42-2.44, 10 B 2.46-2.62
Sc 0.3084 0.8084 0.2500  4 C 2.42-2.44, 10 B 2.46-2.62
B 0.1526 0.0333 0.0000  2 C 1.59-1.60, 1 B 1.71
B 0.5333 0.6526 0.5000  2 C 1.59-1.60, 1 B 1.71
B 0.8474 0.9667 0.0000  2 C 1.59-1.60, 1 B 1.71
B 0.3474 0.5333 0.0000  2 C 1.59-1.60, 1 B 1.71
B 0.6526 0.4667 0.0000  2 C 1.59-1.60, 1 B 1.71
B 0.0333 0.8474 0.5000  2 C 1.59-1.60, 1 B 1.71
B 0.9667 0.1526 0.5000  2 C 1.59-1.60, 1 B 1.71
B 0.4667 0.3474 0.5000  2 C 1.59-1.60, 1 B 1.71
B 0.0960 0.5918 0.0000  1 C 1.56, 1 B 1.71
B 0.4082 0.0960 0.5000  1 C 1.56, 1 B 1.71
B 0.5918 0.9040 0.5000  1 C 1.56, 1 B 1.71
B 0.5960 0.9082 0.0000  1 C 1.56, 1 B 1.71
B 0.4040 0.0918 0.0000  1 C 1.56, 1 B 1.71
B 0.9040 0.4082 0.0000  1 C 1.56, 1 B 1.71
B 0.0918 0.5960 0.5000  1 C 1.56, 1 B 1.71
B 0.9082 0.4040 0.5000  1 C 1.56, 1 B 1.71
C 0.1794 0.0404 0.5000  3 B 1.56-1.60
C 0.6794 0.4596 0.5000  3 B 1.56-1.60
C 0.3206 0.5404 0.5000  3 B 1.56-1.60
C 0.9596 0.1794 0.0000  3 B 1.56-1.60
C 0.0404 0.8206 0.0000  3 B 1.56-1.60
C 0.5404 0.6794 0.0000  3 B 1.56-1.60
C 0.8206 0.9596 0.5000  3 B 1.56-1.60
C 0.4596 0.3206 0.0000  3 B 1.56-1.60

Calculated values
symmetry = P4_2/mbc, No. 135
calculated total energy = -334.9 eV for the cell shown
ΔE_f = -2.7 eV/f.u.


[2]
Sc2BC2 | SCAN | PBEsol geometry

abc: 3.3008 3.3008 5.7983
angles: 106.54 106.54 90.00
Closest atoms and distances in Å follow each position.
Positions (direct):
Sc 0.3485 0.3485 0.6970  5 C 2.22-2.34
Sc 0.6515 0.6515 0.3030  5 C 2.22-2.34
C 0.1398 0.1398 0.2796  1 B 1.48
C 0.8602 0.8602 0.7204  1 B 1.48
B 0.0000 0.0000 0.0000  2 C 1.48

Calculated values
symmetry = I4/mmm, No. 139
calculated total energy = -59.6 eV for the cell shown
ΔE_f = -3.5 eV/f.u.


[3]
ScBC | SCAN | PBEsol geometry

abc: 2.9019 2.9019 7.2143
angles: 90.00 90.00 120.00
Closest atoms and distances in Å follow each position.
Positions (direct):
Sc 0.0000 0.0000 0.0000  6 B 2.46, 6 C 2.46
Sc 0.0000 0.0000 0.5000  6 B 2.46, 6 C 2.46
C 0.3333 0.6667 0.2500  3 B 1.68
C 0.6667 0.3333 0.7500  3 B 1.68
B 0.3333 0.6667 0.7500  3 C 1.68
B 0.6667 0.3333 0.2500  3 C 1.68

Calculated values
symmetry = P6_3/mmc, No. 194
calculated total energy = -67.5 eV for the cell shown
ΔE_f = -2.0 eV/f.u.


[4]
Sr2BCSe | SCAN | PBEsol geometry

abc: 3.1119 5.4434 5.4434
angles: 90.00 90.00 90.00
Closest atoms and distances in Å follow each position.
Positions (direct):
Sr 0.0000 0.0000 0.5000  2 C 2.72
Sr 0.0000 0.5000 0.0000  2 C 2.72
C 0.0000 0.0000 0.0000  2 B 1.56
B 0.5000 0.0000 0.0000  2 C 1.56
Se 0.5000 0.5000 0.5000  2 Se 3.11, 8 Sr 3.14

Calculated values
raw formation energy = -0.611 eV per atom
symmetry = P4/mmm, No. 123
calculated total energy = -85.2 eV for the cell shown


[5]
Si3BC | SCAN | PBEsol geometry

abc: 3.9057 3.9057 3.9057
angles: 90.00 90.00 90.00
Closest atoms and distances in Å follow each position.
Positions (direct):
Si 0.0000 0.5000 0.0000  2 C 1.95
Si 0.0000 0.0000 0.5000  2 C 1.95
Si 0.5000 0.0000 0.0000  2 C 1.95
B 0.5000 0.5000 0.5000  12 Si 2.76
C 0.0000 0.0000 0.0000  6 Si 1.95

Calculated values
raw formation energy = 1.523 eV per atom
symmetry = Pm-3m, No. 221
calculated total energy = -40.0 eV for the cell shown


[6]
Sn2BC | SCAN | PBEsol geometry

abc: 5.1848 5.1848 6.2655
angles: 114.44 114.44 90.00
Closest atoms and distances in Å follow each position.
Positions (direct):
C 0.2500 0.7500 0.5000  4 Sn 2.20
C 0.0000 0.0000 0.0000  4 Sn 2.20
B 0.7500 0.2500 0.5000  4 Sn 2.26
B 0.5000 0.5000 0.0000  4 Sn 2.26
Sn 0.3655 0.8750 0.2500  2 C 2.20, 2 B 2.26
Sn 0.8845 0.3750 0.2500  2 C 2.20, 2 B 2.26
Sn 0.1250 0.1155 0.7500  2 C 2.20, 2 B 2.26
Sn 0.6250 0.6345 0.7500  2 C 2.20, 2 B 2.26

Calculated values
symmetry = I-42d, No. 122
calculated total energy = -171.8 eV for the cell shown
ΔE_f = 3.5 eV/f.u.